1.
A crystal of KLiBe2 relaxed with PBEsol, computed with SCAN.

- offset from the most stable computed form (meV per atom) = 151
- M_tot (μB/cell) = 0.00
- N(E_F) (states/eV/f.u.) = 1.78
- calculated formation energy (eV/f.u.) = 4.41
- crystal system = tetragonal
- total DFT energy (no corrections) (eV/atom) = -3.75

Lattice parameters (Å, degrees): 3.8748 3.8748 5.0645 90.00 90.00 90.00
With the nearest neighbours (Å) after each atom.
Fractional coordinates of all 4 atoms:
K 0.0000 0.0000 0.0000  4 Li 2.74
Li 0.5000 0.5000 0.0000  4 K 2.74
Be 0.0000 0.5000 0.5000  4 Be 2.74
Be 0.5000 0.0000 0.5000  4 Be 2.74

2.
A crystal of CaMoO4 relaxed with PBEsol, computed with SCAN.

- E_form (uncorrected) (meV per atom) = -2772
- M_tot (μB/cell) = 0.00
- N(E_F) (states/eV/f.u.) = 0.00
- crystal system = tetragonal
- total DFT energy (no corrections) (eV/atom) = -14.35

Lattice parameters (Å, degrees): 6.7438 6.7438 6.7438 134.62 134.62 66.13
With the nearest neighbours (Å) after each atom.
Fractional coordinates of all 12 atoms:
Ca 0.3750 0.1250 0.2500  8 O 2.42-2.45
Ca 0.6250 0.8750 0.7500  8 O 2.42-2.45
Mo 0.1250 0.3750 0.7500  4 O 1.77
Mo 0.8750 0.6250 0.2500  4 O 1.77
O 0.0594 0.7033 0.8414  1 Mo 1.77
O 0.2033 0.8619 0.6438  1 Mo 1.77
O 0.2819 0.4406 0.1438  1 Mo 1.77
O 0.3619 0.2181 0.6586  1 Mo 1.77
O 0.6381 0.7819 0.3414  1 Mo 1.77
O 0.7181 0.5594 0.8562  1 Mo 1.77
O 0.7967 0.1381 0.3562  1 Mo 1.77
O 0.9406 0.2967 0.1586  1 Mo 1.77

3.
A crystal of LaHf3Mo relaxed with PBEsol, computed with SCAN.

- M_tot (μB/cell) = 2.15
- N(E_F) (states/eV/f.u.) = 5.40
- calculated formation energy (eV/f.u.) = 9.79
- crystal system = cubic
- total DFT energy (no corrections) (eV/atom) = -51.24

Lattice parameters (Å, degrees): 4.9746 4.9746 4.9746 90.00 90.00 90.00
With the nearest neighbours (Å) after each atom.
Fractional coordinates of all 5 atoms:
La 0.0000 0.0000 0.0000  6 Hf 2.49
Hf 0.0000 0.0000 0.5000  2 La 2.49
Hf 0.0000 0.5000 0.0000  2 La 2.49
Hf 0.5000 0.0000 0.0000  2 La 2.49
Mo 0.5000 0.5000 0.5000  12 Hf 3.52

4.
A crystal of TlSb2 relaxed with PBEsol, computed with SCAN.

- E_form (uncorrected) (meV per atom) = 63
- M_tot (μB/cell) = 0.00
- N(E_F) (states/eV/f.u.) = 0.98
- crystal system = tetragonal
- total DFT energy (no corrections) (eV/atom) = -48.90

Lattice parameters (Å, degrees): 6.5170 6.5170 6.5170 146.02 146.02 48.81
With the nearest neighbours (Å) after each atom.
Fractional coordinates of all 3 atoms:
Tl 0.0000 0.0000 0.0000  10 Sb 3.52-3.67, 4 Tl 3.81
Sb 0.3089 0.3089 0.0000  4 Sb 3.03
Sb 0.6911 0.6911 0.0000  4 Sb 3.03

5.
A crystal of HgH2Au2 relaxed with PBEsol, computed with SCAN.

- M_tot (μB/cell) = 0.00
- N(E_F) (states/eV/f.u.) = 1.16
- crystal system = tetragonal
- total DFT energy (no corrections) (eV/atom) = -42.26

Lattice parameters (Å, degrees): 6.7509 6.7509 6.7509 152.88 152.88 38.73
With the nearest neighbours (Å) after each atom.
Fractional coordinates of all 5 atoms:
Hg 0.0000 0.0000 0.0000  8 Au 2.98, 4 Hg 3.17
H 0.2500 0.7500 0.5000  4 Au 1.99
H 0.7500 0.2500 0.5000  4 Au 1.99
Au 0.3452 0.3452 0.0000  4 H 1.99
Au 0.6548 0.6548 0.0000  4 H 1.99

6.
A crystal of CoBi3Pb relaxed with PBEsol, computed with SCAN.

- M_tot (μB/cell) = 2.37
- N(E_F) (states/eV/f.u.) = 5.85
- calculated formation energy (eV/f.u.) = 7.11
- crystal system = cubic
- total DFT energy (no corrections) (eV/atom) = -64.34

Lattice parameters (Å, degrees): 5.7815 5.7815 5.7815 90.00 90.00 90.00
With the nearest neighbours (Å) after each atom.
Fractional coordinates of all 5 atoms:
Co 0.0000 0.0000 0.0000  12 Bi 4.09
Bi 0.0000 0.5000 0.5000  2 Pb 2.89
Bi 0.5000 0.0000 0.5000  2 Pb 2.89
Bi 0.5000 0.5000 0.0000  2 Pb 2.89
Pb 0.5000 0.5000 0.5000  6 Bi 2.89

7.
A crystal of LiScI2 relaxed with PBEsol, computed with SCAN.

- E_form (uncorrected) (meV per atom) = -628
- offset from the most stable computed form (meV per atom) = 31
- M_tot (μB/cell) = 1.92
- N(E_F) (states/eV/f.u.) = 1.82
- crystal system = cubic
- total DFT energy (no corrections) (eV/atom) = -23.16

Lattice parameters (Å, degrees): 5.1819 5.1819 5.1819 60.00 60.00 60.00
With the nearest neighbours (Å) after each atom.
Fractional coordinates of all 4 atoms:
Li 0.0000 0.0000 0.0000  8 I 3.17
Sc 0.5000 0.5000 0.5000  8 I 3.17
I 0.2500 0.2500 0.2500  4 Li 3.17, 4 Sc 3.17
I 0.7500 0.7500 0.7500  4 Li 3.17, 4 Sc 3.17

8.
A crystal of ScTlN2 relaxed with PBEsol, computed with SCAN.

- E_form (uncorrected) (meV per atom) = 374
- M_tot (μB/cell) = 0.00
- N(E_F) (states/eV/f.u.) = 0.51
- crystal system = cubic
- total DFT energy (no corrections) (eV/atom) = -25.92

Lattice parameters (Å, degrees): 4.0949 4.0949 4.0949 60.00 60.00 60.00
With the nearest neighbours (Å) after each atom.
Fractional coordinates of all 4 atoms:
Sc 0.0000 0.0000 0.0000  8 N 2.51
Tl 0.5000 0.5000 0.5000  8 N 2.51
N 0.2500 0.2500 0.2500  4 Tl 2.51, 4 Sc 2.51
N 0.7500 0.7500 0.7500  4 Tl 2.51, 4 Sc 2.51

9.
A crystal of Ba2LaCu3O8 relaxed with PBEsol, computed with SCAN.

- E_form (uncorrected) (meV per atom) = -1882
- M_tot (μB/cell) = 0.00
- N(E_F) (states/eV/f.u.) = 5.93
- crystal system = tetragonal
- total DFT energy (no corrections) (eV/atom) = -17.43

Lattice parameters (Å, degrees): 3.9177 3.9177 11.5266 90.00 90.00 90.00
With the nearest neighbours (Å) after each atom.
Fractional coordinates of all 14 atoms:
Ba 0.0000 0.0000 0.1675  12 O 2.75-3.02
Ba 0.0000 0.0000 0.8325  12 O 2.75-3.02
La 0.0000 0.0000 0.5000  8 O 2.49
Cu 0.5000 0.5000 0.0000  6 O 1.93-1.96
Cu 0.5000 0.5000 0.3374  5 O 1.96-1.99
Cu 0.5000 0.5000 0.6626  5 O 1.96-1.99
O 0.0000 0.5000 0.0000  2 Cu 1.96
O 0.0000 0.5000 0.3669  2 Cu 1.99
O 0.0000 0.5000 0.6331  2 Cu 1.99
O 0.5000 0.0000 0.0000  2 Cu 1.96
O 0.5000 0.0000 0.3669  2 Cu 1.99
O 0.5000 0.0000 0.6331  2 Cu 1.99
O 0.5000 0.5000 0.1677  2 Cu 1.93-1.96
O 0.5000 0.5000 0.8323  2 Cu 1.93-1.96

10.
A crystal of Fe4CoBr relaxed with PBEsol, computed with SCAN.

- E_form (uncorrected) (meV per atom) = 676
- M_tot (μB/cell) = 13.08
- N(E_F) (states/eV/f.u.) = 4.33
- crystal system = cubic
- total DFT energy (no corrections) (eV/atom) = -17.54

Lattice parameters (Å, degrees): 4.7684 4.7684 4.7684 60.00 60.00 60.00
With the nearest neighbours (Å) after each atom.
Fractional coordinates of all 6 atoms:
Fe 0.3759 0.3759 0.3759  6 Fe 2.37-2.40
Fe 0.3759 0.3759 0.8724  6 Fe 2.37-2.40
Fe 0.3759 0.8724 0.3759  6 Fe 2.37-2.40
Fe 0.8724 0.3759 0.3759  6 Fe 2.37-2.40
Co 0.7500 0.7500 0.7500  12 Fe 2.79, 4 Br 2.92
Br 0.0000 0.0000 0.0000  12 Fe 2.80, 4 Co 2.92

11.
A crystal of Rb5InMo4O16 relaxed with PBEsol, computed with SCAN.

- E_form (uncorrected) (meV per atom) = -2235
- M_tot (μB/cell) = 0.53
- N(E_F) (states/eV/f.u.) = 0.00
- crystal system = monoclinic
- total DFT energy (no corrections) (eV/atom) = -16.71

Lattice parameters (Å, degrees): 11.4275 7.9561 11.0407 90.00 113.85 90.00
With the nearest neighbours (Å) after each atom.
Fractional coordinates of all 52 atoms:
Rb 0.0000 0.1135 0.2500  6 O 2.88-2.93
Rb 0.0000 0.8865 0.7500  6 O 2.88-2.93
Rb 0.0898 0.3681 0.6431  7 O 2.77-3.10
Rb 0.0898 0.6319 0.1431  7 O 2.77-3.10
Rb 0.3934 0.1576 0.8453  5 O 2.73-2.99
Rb 0.3934 0.8424 0.3453  5 O 2.73-2.99
Rb 0.6066 0.1576 0.6547  5 O 2.73-2.99
Rb 0.6066 0.8424 0.1547  5 O 2.73-2.99
Rb 0.9102 0.3681 0.8569  7 O 2.77-3.10
Rb 0.9102 0.6319 0.3569  7 O 2.77-3.10
In 0.5000 0.4159 0.2500  6 O 2.14-2.19
In 0.5000 0.5841 0.7500  6 O 2.14-2.19
Mo 0.2171 0.1598 0.0572  4 O 1.74-1.83
Mo 0.2171 0.8402 0.5572  4 O 1.74-1.83
Mo 0.3042 0.3512 0.4433  4 O 1.73-1.80
Mo 0.3042 0.6488 0.9433  4 O 1.73-1.80
Mo 0.6958 0.3512 0.0567  4 O 1.73-1.80
Mo 0.6958 0.6488 0.5567  4 O 1.73-1.80
Mo 0.7829 0.1598 0.4428  4 O 1.74-1.83
Mo 0.7829 0.8402 0.9428  4 O 1.74-1.83
O 0.1284 0.2931 0.1132  1 Mo 1.74
O 0.1284 0.7069 0.6132  1 Mo 1.74
O 0.1442 0.4066 0.3946  1 Mo 1.74
O 0.1442 0.5934 0.8946  1 Mo 1.74
O 0.1500 0.1757 0.8838  1 Mo 1.76
O 0.1500 0.8243 0.3838  1 Mo 1.76
O 0.1974 0.0450 0.6056  1 Mo 1.76
O 0.1974 0.9550 0.1056  1 Mo 1.76
O 0.3199 0.1395 0.4159  1 Mo 1.73
O 0.3199 0.8605 0.9159  1 Mo 1.73
O 0.3738 0.4704 0.3510  1 Mo 1.80
O 0.3738 0.5296 0.8510  1 Mo 1.80
O 0.3847 0.2242 0.1213  1 Mo 1.83
O 0.3847 0.7758 0.6213  1 Mo 1.83
O 0.3874 0.3863 0.6188  1 Mo 1.80
O 0.3874 0.6137 0.1188  1 Mo 1.80
O 0.6126 0.3863 0.8812  1 Mo 1.80
O 0.6126 0.6137 0.3812  1 Mo 1.80
O 0.6153 0.2242 0.3787  1 Mo 1.83
O 0.6153 0.7758 0.8787  1 Mo 1.83
O 0.6262 0.4704 0.1490  1 Mo 1.80
O 0.6262 0.5296 0.6490  1 Mo 1.80
O 0.6801 0.1395 0.0841  1 Mo 1.73
O 0.6801 0.8605 0.5841  1 Mo 1.73
O 0.8026 0.0450 0.8944  1 Mo 1.76
O 0.8026 0.9550 0.3944  1 Mo 1.76
O 0.8500 0.1757 0.6162  1 Mo 1.76
O 0.8500 0.8243 0.1162  1 Mo 1.76
O 0.8558 0.4066 0.1054  1 Mo 1.74
O 0.8558 0.5934 0.6054  1 Mo 1.74
O 0.8716 0.2931 0.3868  1 Mo 1.74
O 0.8716 0.7069 0.8868  1 Mo 1.74